# 1
The following is a DFT calculation (GGA-PBE) of crystalline Cs2CuI at its relaxed geometry.

uncorrected energy = -2.34 eV/atom
calculated volume = 47.370 A^3/atom
ΔE_f (raw) = -0.505 eV/atom
M_tot = 0.052 μB per atom
space-group type = Fm-3m, No. 225

a b c (Å): 6.4470 6.4470 6.4470
angles (deg): 60.00 60.00 60.00
With the nearest neighbours (Å) after each atom.
Atoms (fractional coordinates):
Cs (0.7500, 0.7500, 0.7500)  4 I 3.95, 4 Cu 3.95
Cs (0.2500, 0.2500, 0.2500)  4 I 3.95, 4 Cu 3.95
I (0.5000, 0.5000, 0.5000)  8 Cs 3.95
Cu (0.0000, 0.0000, 0.0000)  8 Cs 3.95



# 2
The following is a DFT calculation (GGA-PBE) of crystalline LaAl5Ag7 at its relaxed geometry.

uncorrected energy = -3.57 eV/atom
calculated volume = 18.405 A^3/atom
M_tot = 0.000 μB per atom
space-group type = Imm2, No. 44

a b c (Å): 5.4373 7.1692 7.1692
angles (deg): 82.27 67.72 67.72
With the nearest neighbours (Å) after each atom.
Atoms (fractional coordinates):
Al (0.4996, 0.4947, 0.0021)  7 Ag 2.70-2.89, 3 Al 2.70-2.77
Al (0.0035, 0.0021, 0.4947)  7 Ag 2.70-2.89, 3 Al 2.70-2.77
Al (0.0035, 0.4947, 0.0021)  7 Ag 2.70-2.89, 3 Al 2.70-2.77
Al (0.7266, 0.7734, 0.7734)  4 Al 2.77, 6 Ag 2.86-2.91
Al (0.4996, 0.0021, 0.4947)  7 Ag 2.70-2.89, 3 Al 2.70-2.77
Ag (0.2768, 0.2232, 0.2232)  4 Al 2.70, 6 Ag 2.92-3.01
Ag (0.3383, 0.6617, 0.6617)  6 Al 2.86-2.91, 3 Ag 2.92-3.15, 1 La 3.16
Ag (0.5059, 0.2042, 0.7840)  5 Al 2.70-2.86, 3 Ag 2.92-3.01
Ag (0.5059, 0.7840, 0.2042)  5 Al 2.70-2.86, 3 Ag 2.92-3.01
Ag (0.9943, 0.3521, 0.6593)  5 Al 2.81-2.89, 4 Ag 2.90-3.01
Ag (0.6517, 0.3483, 0.3483)  4 Al 2.85, 5 Ag 2.92-3.05
Ag (0.9943, 0.6593, 0.3521)  5 Al 2.81-2.89, 4 Ag 2.90-3.01
La (0.9999, 0.0001, 0.0001)  10 Ag 3.16-3.42, 2 Al 3.44



# 3
The following is a DFT calculation (GGA-PBE) of crystalline RhCOF2 at its relaxed geometry.

uncorrected energy = -4.58 eV/atom
calculated volume = 10.507 A^3/atom
ΔE_f (raw) = 0.478 eV/atom
M_tot = 0.324 μB per atom
space-group type = P4/mmm, No. 123

a b c (Å): 4.5826 4.5826 2.5016
angles (deg): 90.00 90.00 90.00
With the nearest neighbours (Å) after each atom.
Atoms (fractional coordinates):
Rh (0.5000, 0.5000, 0.5000)  2 Rh 2.50, 8 F 2.61
C (0.0000, 0.0000, 0.0000)  2 O 1.25
O (0.0000, 0.0000, 0.5000)  2 C 1.25
F (0.5000, 0.0000, 0.0000)  2 C 2.29, 2 F 2.50
F (0.0000, 0.5000, 0.0000)  2 C 2.29, 2 F 2.50



# 4
The following is a DFT calculation (GGA-PBE) of crystalline NaLi2InAg at its relaxed geometry.

uncorrected energy = -2.15 eV/atom
calculated volume = 26.693 A^3/atom
M_tot = 0.000 μB per atom
space-group type = P4/mmm, No. 123

a b c (Å): 5.0497 5.0497 5.2341
angles (deg): 90.00 90.00 90.00
With the nearest neighbours (Å) after each atom.
Atoms (fractional coordinates):
Ag (0.0000, 0.0000, 0.0000)  4 Li 2.52, 2 In 2.62
Na (0.5000, 0.5000, 0.5000)  4 In 3.57, 8 Li 3.64
Li (0.0000, 0.5000, 0.0000)  2 Ag 2.52
Li (0.5000, 0.0000, 0.0000)  2 Ag 2.52
In (0.0000, 0.0000, 0.5000)  2 Ag 2.62